! LaTeSeF2 PBE-GGA optimized geometry; values from VASP
! calculated volume = 129.4 Å³ per cell
! symmetry = P4/mmm
! N(E_F) = 1.5 states/eV/f.u.
! size of the total moment = 0.000 μB per formula unit
! calculated total energy = -5.435 eV per atom
! formation energy (no corrections) = -2376.1 meV per atom
&SYSTEM
  ibrav = 0, nat = 5, ntyp = 4
/
ATOMIC_SPECIES
F 19.00 F.upf
Te 127.60 Te.upf
Se 78.96 Se.upf
La 138.91 La.upf
CELL_PARAMETERS angstrom
4.5083 0.0000 0.0000
0.0000 6.3653 0.0000
0.0000 0.0000 4.5083
ATOMIC_POSITIONS crystal
F 0.0000 0.0000 0.5000
F 0.5000 0.0000 0.0000
Te 0.5000 0.5000 0.5000
Se 0.0000 0.5000 0.0000
La 0.0000 0.0000 0.0000